Here is Ca2VClO4 after structural relaxation from Alexandria. Energies are from PBE with a Hubbard U.

Lattice parameters (Å, degrees): 6.419 7.195 11.196 90.00 90.00 90.00
Space group Pbcm (No. 57)
Inequivalent atoms, fractional coordinates:
Ca 0.122 0.250 0.000 [4 per cell]
Ca 0.358 0.527 0.250 [4 per cell]
V 0.371 0.750 0.000 [4 per cell]
Cl 0.003 0.702 0.750 [4 per cell]
O 0.208 0.564 0.029 [8 per cell]
O 0.468 0.230 0.625 [8 per cell]

Output
- size of the total moment (μB per atom) = 0.0000
- total DFT energy (no corrections) (eV per atom) = -6.7253